# 1
Density functional theory data (PBE) for crystalline SmPbN at its relaxed geometry.

```
SmPbN
1.0
-1.339 -0.278 3.192
1.815 -2.917 0.508
4.322 4.817 0.343
Sm N Pb
1 1 1
Cartesian
2.417 -0.059 2.898
2.109 1.489 1.014
0.272 0.192 0.131
```

The total magnetic moment comes out at 0.00 Bohr magnetons per cell. The value obtained for the offset from the most stable computed form is 0 meV per atom. The uncorrected formation energy is -14.0 kcal/mol of atoms.

---

# 2
Density functional theory data (PBE) for crystalline CsGe2Pd2 at its relaxed geometry.

```
CsGe2Pd2
1.0
8.584 0.000 0.000
0.000 8.584 0.000
0.000 0.000 3.216
Pd Ge Cs
4 4 2
Cartesian
3.250 1.042 0.000
7.542 3.250 0.000
5.334 7.542 0.000
1.042 5.334 0.000
7.549 5.328 1.608
3.256 7.549 1.608
5.328 1.036 1.608
1.036 3.256 1.608
0.000 0.000 0.000
4.292 4.292 0.000
```

The total magnetic moment comes out at 0.00 Bohr magnetons per cell. The value obtained for the offset from the most stable computed form is 315 meV per atom. The energy relative to the elements is -0.055 eV/atom.

---

# 3
Density functional theory data (PBE) for crystalline Pm3Nd5Y4 at its relaxed geometry.

```
Pm3Nd5Y4
1.0
7.018 -0.447 1.839
-5.285 7.684 -6.735
4.204 -4.028 11.754
Nd Y Pm
5 4 3
Cartesian
5.611 -2.237 6.797
2.329 1.624 5.909
3.325 -0.296 8.847
2.612 3.505 -1.989
3.608 1.585 0.949
4.841 3.297 3.921
5.834 1.407 6.829
0.103 1.802 0.029
1.097 -0.088 2.937
2.102 -2.014 5.877
4.623 -0.316 3.864
1.315 3.524 2.994
```

The total magnetic moment comes out at 0.00 Bohr magnetons per cell. The value obtained for the offset from the most stable computed form is 0 meV per atom. The energy relative to the elements is 0.012 eV/atom.

---

# 4
Density functional theory data (PBE) for crystalline HfCr2Ru at its relaxed geometry.

```
HfCr2Ru
1.0
7.001 0.000 0.000
0.000 7.001 0.000
3.500 3.500 2.586
Cr Hf Ru
4 2 2
Cartesian
8.751 8.500 1.940
5.250 5.501 1.940
5.000 1.750 0.647
2.001 5.250 0.647
0.000 0.000 0.000
7.001 3.500 1.293
3.500 3.500 0.000
3.500 7.001 1.293
```

The total magnetic moment comes out at 0.00 Bohr magnetons per cell. The value obtained for the offset from the most stable computed form is 423 meV per atom. The energy relative to the elements is 0.531 eV/atom.

---

# 5
Density functional theory data (PBE) for crystalline Er3TmTl2 at its relaxed geometry.

```
Er3TmTl2
1.0
-0.708 -1.785 -4.659
-0.519 -6.254 2.475
-9.763 1.214 1.019
Tl Er Tm
4 6 2
Cartesian
-1.767 -2.026 -1.680
-9.179 -4.264 0.304
-6.338 -1.064 1.371
-3.989 -4.515 2.337
-9.610 -1.677 2.104
-7.137 -4.338 2.747
-3.225 -1.665 1.128
-2.545 -4.873 -0.471
-0.884 -5.921 2.403
-8.365 -0.990 -1.074
-4.868 -0.616 -1.749
-5.909 -3.646 -0.430
```

The total magnetic moment comes out at 0.00 Bohr magnetons per cell. The value obtained for the offset from the most stable computed form is 0 meV per atom. The energy relative to the elements is -0.258 eV/atom.

---

# 6
Density functional theory data (PBE) for crystalline Na2CrRe at its relaxed geometry.

```
Na2CrRe
1.0
1.796 -4.239 -0.337
-2.299 -3.623 1.702
-1.891 -3.086 -2.865
Na Re Cr
2 1 1
Cartesian
-0.599 -2.737 -0.375
-1.796 -8.211 -1.125
-1.197 -5.474 -0.750
0.000 0.000 0.000
```

The total magnetic moment comes out at 0.00 Bohr magnetons per cell. The value obtained for the offset from the most stable computed form is 623 meV per atom. The energy relative to the elements is 2.150 eV/atom.